*A*
Here is an optimized crystal structure of Cu2Os3 from Alexandria via LeMat-Bulk. Energies are from PBE.

a = 4.057 Å, b = 4.057 Å, c = 5.056 Å
α = 90.00°, β = 90.00°, γ = 120.00°
Fractional coordinates of all 5 atoms:
1 Os 0.000 0.000 0.000
2 Cu 0.667 0.333 0.155
3 Cu 0.333 0.667 0.845
4 Os 0.333 0.667 0.361
5 Os 0.667 0.333 0.639

Calculated values
For the density of states at the Fermi level, the calculation gives 4.89 states/eV per cell. The value obtained for the total magnetic moment is 0.00 μB per formula unit.

*B*
Here is an optimized crystal structure of Cu2Os3 from Alexandria via LeMat-Bulk. Energies are from PBE.

a = 11.018 Å, b = 11.018 Å, c = 11.018 Å
α = 14.07°, β = 14.07°, γ = 14.07°
Fractional coordinates of all 5 atoms:
1 Os 0.199 0.199 0.199
2 Cu 0.601 0.601 0.601
3 Os 0.000 0.000 0.000
4 Cu 0.399 0.399 0.399
5 Os 0.801 0.801 0.801

Calculated values
For the density of states at the Fermi level, the calculation gives 5.19 states/eV per cell. The value obtained for the total magnetic moment is 0.00 μB per formula unit.

So which one wins? Going from most stable to least: *B*, *A*.

*A*
Here is an optimized crystal structure of Cu5Os from Alexandria via LeMat-Bulk. Energies are from PBE.

a = 4.500 Å, b = 4.500 Å, c = 4.274 Å
α = 90.00°, β = 90.00°, γ = 120.00°
Fractional coordinates of all 6 atoms:
1 Cu 0.333 0.667 0.500
2 Cu 0.330 0.330 0.000
3 Os 0.000 0.000 0.500
4 Cu 0.000 0.670 0.000
5 Cu 0.670 0.000 0.000
6 Cu 0.667 0.333 0.500

Calculated values
For the density of states at the Fermi level, the calculation gives 4.88 states/eV per cell. The value obtained for the total magnetic moment is 0.21 μB per formula unit.

*B*
Here is an optimized crystal structure of Cu5Os from Alexandria via LeMat-Bulk. Energies are from PBE.

a = 5.058 Å, b = 5.058 Å, c = 6.207 Å
α = 75.64°, β = 75.64°, γ = 29.12°
Fractional coordinates of all 6 atoms:
1 Os 0.277 0.277 0.946
2 Cu 0.336 0.336 0.335
3 Cu 0.665 0.665 0.659
4 Cu 0.609 0.609 0.285
5 Cu 0.001 0.001 0.999
6 Cu 0.945 0.945 0.609

Calculated values
For the density of states at the Fermi level, the calculation gives 1.63 states/eV per cell. The value obtained for the total magnetic moment is 0.00 μB per formula unit.

*C*
Here is an optimized crystal structure of Cu5Os from Alexandria via LeMat-Bulk. Energies are from PBE.

a = 4.735 Å, b = 4.735 Å, c = 4.735 Å
α = 60.00°, β = 60.00°, γ = 60.00°
Fractional coordinates of all 6 atoms:
1 Os 0.000 0.000 0.000
2 Cu 0.750 0.750 0.750
3 Cu 0.875 0.375 0.375
4 Cu 0.375 0.875 0.375
5 Cu 0.375 0.375 0.875
6 Cu 0.375 0.375 0.375

Calculated values
For the density of states at the Fermi level, the calculation gives 6.52 states/eV per cell. The value obtained for the total magnetic moment is 0.63 μB per formula unit.

So which one wins? Going from most stable to least: *B*, *A*, *C*.

*A*
Here is an optimized crystal structure of CuOs2 from Alexandria via LeMat-Bulk. Energies are from PBE.

a = 4.334 Å, b = 4.334 Å, c = 2.651 Å
α = 90.00°, β = 90.00°, γ = 120.00°
Fractional coordinates of all 3 atoms:
1 Cu 0.000 0.000 0.000
2 Os 0.333 0.667 0.500
3 Os 0.667 0.333 0.500

Calculated values
For the density of states at the Fermi level, the calculation gives 3.58 states/eV per cell. The value obtained for the total magnetic moment is 0.00 μB per formula unit.

*B*
Here is an optimized crystal structure of CuOs2 from Alexandria via LeMat-Bulk. Energies are from PBE.

a = 12.094 Å, b = 12.094 Å, c = 12.094 Å
α = 167.27°, β = 167.27°, γ = 18.04°
Fractional coordinates of all 6 atoms:
1 Cu 0.750 0.250 0.500
2 Os 0.580 0.580 0.000
3 Os 0.170 0.670 0.500
4 Os 0.420 0.420 0.000
5 Os 0.330 0.830 0.500
6 Cu 0.000 0.000 0.000

Calculated values
For the density of states at the Fermi level, the calculation gives 6.20 states/eV per cell. The value obtained for the total magnetic moment is 0.00 μB per formula unit.

So which one wins? Going from most stable to least: *A*, *B*.